## one
Pu2H2Rh | PBE | relaxed

Cell: 5.3419 5.3832 6.3473 Å, 81.54 65.63 61.79°
Element x y z (fractional)
Pu 0.0693 0.0216 0.2273
Pu 0.3675 0.3436 0.3072
Pu 0.6325 0.6564 0.6928
Pu 0.9307 0.9784 0.7727
H 0.1537 0.6195 0.0117
H 0.3968 0.7544 0.4177
H 0.6032 0.2456 0.5823
H 0.8463 0.3805 0.9883
Rh 0.2520 0.3191 0.8118
Rh 0.7480 0.6809 0.1882

As for the density of states at the Fermi level: 26.35 states/eV per cell. Its space group is P-1 (2).

***

## two
Pu2H2Rh | PBE | relaxed

Cell: 3.7454 3.7454 6.7220 Å, 90.00 90.00 120.00°
Element x y z (fractional)
Pu 0.3333 0.6667 0.2686
Pu 0.6667 0.3333 0.7314
H 0.3333 0.6667 0.6115
H 0.6667 0.3333 0.3885
Rh 0.0000 0.0000 0.0000

As for the density of states at the Fermi level: 15.07 states/eV per cell. Its space group is P-3m1 (164).

***

Quick one: least stable of them? one

***

## one
Pu2HRh | PBE | relaxed

Cell: 6.4508 6.4508 6.4508 Å, 33.89 33.89 33.89°
Element x y z (fractional)
Pu 0.2371 0.2371 0.2371
Pu 0.7629 0.7629 0.7629
H 0.5000 0.5000 0.5000
Rh 0.0000 0.0000 0.0000

As for the density of states at the Fermi level: 13.92 states/eV per cell. Its space group is R-3m (166).

***

## two
Pu2HRh | PBE | relaxed

Cell: 3.3683 5.3529 7.0069 Å, 90.36 97.64 90.03°
Element x y z (fractional)
Pu 0.0595 0.2785 0.1757
Pu 0.1573 0.7883 0.4929
Pu 0.8427 0.2117 0.5071
Pu 0.9405 0.7215 0.8243
H 0.3978 0.4481 0.6853
H 0.6022 0.5519 0.3147
Rh 0.4659 0.1888 0.8521
Rh 0.5341 0.8112 0.1479

As for the density of states at the Fermi level: 23.39 states/eV per cell. Its space group is P-1 (2).

***

Quick one: least stable of them? one

***

## one
Pu2HRh | PBE | relaxed

Cell: 3.1582 3.1582 6.9860 Å, 90.00 90.00 90.00°
Element x y z (fractional)
Pu 0.0000 0.0000 0.2253
Pu 0.0000 0.0000 0.7747
H 0.5000 0.5000 0.0000
Rh 0.5000 0.5000 0.5000

As for the density of states at the Fermi level: 11.12 states/eV per cell. Its space group is P4/mmm (123).

***

## two
Pu2HRh | PBE | relaxed

Cell: 5.9907 5.9907 5.9907 Å, 34.97 34.97 34.97°
Element x y z (fractional)
Pu 0.0000 0.0000 0.0000
Pu 0.2516 0.2516 0.2516
H 0.5388 0.5388 0.5388
Rh 0.4362 0.4362 0.4362

As for the density of states at the Fermi level: 8.95 states/eV per cell. Its space group is R3m (160).

***

Quick one: least stable of them? two

***

## one
PuH4Ru | PBE | relaxed

Cell: 5.7311 5.7311 4.4453 Å, 90.00 90.00 130.59°
Element x y z (fractional)
Pu 0.1330 0.8670 0.7500
Pu 0.8670 0.1330 0.2500
H 0.0682 0.2303 0.7500
H 0.2303 0.0682 0.2500
H 0.3184 0.6816 0.0314
H 0.3184 0.6816 0.4686
H 0.6816 0.3184 0.5314
H 0.6816 0.3184 0.9686
H 0.7697 0.9318 0.7500
H 0.9318 0.7697 0.2500
Ru 0.4302 0.5698 0.7500
Ru 0.5698 0.4302 0.2500

As for the density of states at the Fermi level: 15.91 states/eV per cell. Its space group is Cmcm (63).

***

## two
PuH4Ru | PBE | relaxed

Cell: 3.7256 3.7256 4.4726 Å, 104.55 104.55 71.60°
Element x y z (fractional)
Pu 0.0000 0.0000 0.0000
H 0.0000 0.5000 0.5000
H 0.3874 0.3874 0.0998
H 0.5000 0.0000 0.5000
H 0.6126 0.6126 0.9002
Ru 0.5000 0.5000 0.5000

As for the density of states at the Fermi level: 10.60 states/eV per cell. Its space group is C2/m (12).

***

Quick one: least stable of them? two

***

## one
PuHS2 | PBE | relaxed

Cell: 6.4963 6.4963 6.4963 Å, 37.30 37.30 37.30°
Element x y z (fractional)
Pu 0.0000 0.0000 0.0000
H 0.5000 0.5000 0.5000
S 0.4099 0.4099 0.4099
S 0.5901 0.5901 0.5901

As for the density of states at the Fermi level: 7.16 states/eV per cell. Its space group is R-3m (166).

***

## two
PuHS2 | PBE | relaxed

Cell: 6.7531 4.1661 7.2956 Å, 90.00 111.00 90.00°
Element x y z (fractional)
Pu 0.0022 0.2500 0.2356
Pu 0.9978 0.7500 0.7644
H 0.4387 0.2500 0.7264
H 0.5613 0.7500 0.2736
S 0.2150 0.7500 0.1558
S 0.2175 0.2500 0.6509
S 0.7825 0.7500 0.3491
S 0.7850 0.2500 0.8442

As for the density of states at the Fermi level: 14.85 states/eV per cell. Its space group is P2_1/m (11).

***

Quick one: least stable of them? one

***

## one
Pu2Sb2H | PBE | relaxed

Cell: 11.8808 11.8808 11.8808 Å, 158.57 158.57 30.49°
Element x y z (fractional)
Pu 0.0678 0.3178 0.7500
Pu 0.3178 0.0678 0.2500
Pu 0.6822 0.9322 0.7500
Pu 0.9322 0.6822 0.2500
Sb 0.2033 0.4533 0.7500
Sb 0.4533 0.2033 0.2500
Sb 0.5467 0.7967 0.7500
Sb 0.7967 0.5467 0.2500
H 0.3750 0.6250 0.7500
H 0.6250 0.3750 0.2500

As for the density of states at the Fermi level: 38.49 states/eV per cell. Its space group is I4_1/amd (141).

***

## two
Pu2Sb2H | PBE | relaxed

Cell: 7.8471 7.8471 7.4206 Å, 90.00 90.00 153.34°
Element x y z (fractional)
Pu 0.0696 0.9304 0.5000
Pu 0.3878 0.6122 0.2240
Pu 0.6122 0.3878 0.7240
Pu 0.9304 0.0696 0.0000
Sb 0.2540 0.7460 0.9138
Sb 0.4079 0.5921 0.6440
Sb 0.5921 0.4079 0.1440
Sb 0.7460 0.2540 0.4138
H 0.0450 0.9550 0.8209
H 0.9550 0.0450 0.3209

As for the density of states at the Fermi level: 15.02 states/eV per cell. Its space group is Cmc2_1 (36).

***

Quick one: least stable of them? two